A) Below is an optimized crystal structure of TlGa2O, with properties calculated at the PBE level.

Calculated values
Symmetry: I-42d (122)
Crystal system: tetragonal

a = 5.5190 Å, b = 5.5190 Å, c = 6.8282 Å
α = 66.16°, β = 66.16°, γ = 90.00°
Element x y z (fractional)
Tl  0.0000  0.0000  0.0000
Tl  0.7500  0.2500  0.5000
O  0.5000  0.5000  0.0000
O  0.2500  0.7500  0.5000
Ga  0.5157  0.1250  0.2500
Ga  0.2343  0.6250  0.2500
Ga  0.3750  0.4843  0.7500
Ga  0.8750  0.7657  0.7500

=====

B) Below is an optimized crystal structure of TlGa2O, with properties calculated at the PBE level.

Calculated values
Symmetry: Fm-3m (225)
Crystal system: cubic

a = 4.7550 Å, b = 4.7550 Å, c = 4.7550 Å
α = 60.00°, β = 60.00°, γ = 60.00°
Element x y z (fractional)
Tl  0.5000  0.5000  0.5000
O  0.0000  0.0000  0.0000
Ga  0.2500  0.2500  0.2500
Ga  0.7500  0.7500  0.7500

=====

Which structure is most stable? A), by 54.1 kJ/mol of atoms over the runner-up.